[1]
# AlCo2Tc (PBE, optimized geometry)
# Calculated formation energy   -0.11 eV/atom
# E_tot   -0.264 hartree per atom
# Density   8.04 g/cm³
# Magnetic moment   0.79 μB/atom
# Crystal system   orthorhombic
data_AlCo2Tc
_cell_length_a 2.8877
_cell_length_b 4.1678
_cell_length_c 8.3373
_cell_angle_alpha 90.00
_cell_angle_beta 90.00
_cell_angle_gamma 90.00
_space_group_name_H-M_alt 'I m m 2'
_space_group_IT_number 44
loop_
_space_group_symop_operation_xyz
'x,y,z'
'-x,-y,z'
'-x,y,z'
'x,-y,z'
'x+1/2,y+1/2,z+1/2'
'-x+1/2,-y+1/2,z+1/2'
'-x+1/2,y+1/2,z+1/2'
'x+1/2,-y+1/2,z+1/2'
loop_
_atom_site_label
_atom_site_fract_x
_atom_site_fract_y
_atom_site_fract_z
_atom_site_occupancy
Al1 0.0000 0.0000 0.0000 1
Co1 0.0000 0.0000 0.4873 1
Co2 0.0000 0.5000 0.7421 1
Tc1 0.0000 0.5000 0.2370 1

[2]
# AlCoTc2 (PBE, optimized geometry)
# Calculated formation energy   -0.17 eV/atom
# E_tot   -0.296 hartree per atom
# Density   8.63 g/cm³
# Magnetic moment   0.45 μB/atom
# Crystal system   cubic
data_AlCoTc2
_cell_length_a 6.0084
_cell_length_b 6.0084
_cell_length_c 6.0084
_cell_angle_alpha 90.00
_cell_angle_beta 90.00
_cell_angle_gamma 90.00
_space_group_name_H-M_alt 'F -4 3 m'
_space_group_IT_number 216
_space_group_name_Hall 'F -4 2 3'
loop_
_atom_site_label
_atom_site_fract_x
_atom_site_fract_y
_atom_site_fract_z
_atom_site_occupancy
Al1 0.0000 0.0000 0.0000 1
Co1 0.2500 0.2500 0.7500 1
Tc1 0.0000 0.0000 0.5000 1
Tc2 0.2500 0.2500 0.2500 1

[3]
# AlCo2Tc (PBE, optimized geometry)
# Calculated formation energy   -0.15 eV/atom
# E_tot   -0.266 hartree per atom
# Density   8.22 g/cm³
# Magnetic moment   0.25 μB/atom
# Crystal system   tetragonal
data_AlCo2Tc
_cell_length_a 3.7204
_cell_length_b 3.7204
_cell_length_c 7.0856
_cell_angle_alpha 90.00
_cell_angle_beta 90.00
_cell_angle_gamma 90.00
_space_group_name_H-M_alt 'I 4/m m m'
_space_group_IT_number 139
_space_group_name_Hall '-I 4 2'
loop_
_atom_site_label
_atom_site_fract_x
_atom_site_fract_y
_atom_site_fract_z
_atom_site_occupancy
Al1 0.0000 0.0000 0.0000 1
Co1 0.0000 0.5000 0.2500 1
Tc1 0.0000 0.0000 0.5000 1